Record 1
Here is an optimized crystal structure of Rb2PdI6 from Alexandria via LeMat-Bulk. Energies are from PBE-GGA.

abc: 11.4450 11.4450 11.4450
angles: 90.00 90.00 90.00
With the nearest neighbours (Å) after each atom.
Space group Fm-3m (No. 225)
Symmetry-distinct sites (fractional):
Rb 0.2500 0.2500 0.2500 (multiplicity 8)  12 I 4.05
Pd 0.0000 0.0000 0.0000 (multiplicity 4)  6 I 2.72
I 0.0000 0.0000 0.2380 (multiplicity 24)  1 Pd 2.72

Properties
* E_form (uncorrected): -734 meV/atom
* crystal system: cubic
* uncorrected energy: -2.5591 eV per atom

***

Record 2
Here is an optimized crystal structure of RbPd2I from Alexandria via LeMat-Bulk. Energies are from PBE-GGA.

abc: 7.2737 7.2737 7.2737
angles: 90.00 90.00 90.00
With the nearest neighbours (Å) after each atom.
Space group Fm-3m (No. 225)
Symmetry-distinct sites (fractional):
Rb 0.0000 0.0000 0.0000 (multiplicity 4)  8 Pd 3.15
Pd 0.2500 0.2500 0.2500 (multiplicity 8)  4 Rb 3.15, 4 I 3.15
I 0.0000 0.0000 0.5000 (multiplicity 4)  8 Pd 3.15

Properties
* E_form (uncorrected): 182 meV/atom
* crystal system: cubic
* uncorrected energy: -3.0436 eV per atom

***

Record 3
Here is an optimized crystal structure of Rb2PdI7 from Alexandria via LeMat-Bulk. Energies are from PBE-GGA.

abc: 8.3770 8.3770 12.6520
angles: 90.00 90.00 90.00
With the nearest neighbours (Å) after each atom.
Space group I4/mmm (No. 139)
Symmetry-distinct sites (fractional):
Rb 0.0000 0.5000 0.2500 (multiplicity 4)  12 I 4.21-4.34
Pd 0.0000 0.0000 0.0000 (multiplicity 2)  6 I 2.70-2.78
I 0.0000 0.0000 0.2133 (multiplicity 4)  1 Pd 2.70
I 0.0000 0.0000 0.5000 (multiplicity 2)  4 I 3.14
I 0.2347 0.2347 0.0000 (multiplicity 8)  1 Pd 2.78

Properties
* E_form (uncorrected): -640 meV/atom
* crystal system: tetragonal
* uncorrected energy: -2.4381 eV per atom